No. 1
A geometry-optimized Al2OsAu structure. Source: Alexandria, functional PBE-GGA.

abc: 2.843 2.843 7.868
angles: 90.00 90.00 90.00
Space group P4mm (No. 99)
One atom of each set of equivalent atoms:
Al: 0.000 0.000 0.000
Al: 0.500 0.500 0.278
Os: 0.500 0.500 0.790
Au: 0.000 0.000 0.522

DOS at the Fermi energy: 3.4 states/eV/f.u.
DFT formation energy: 0.10 eV per atom

No. 2
A geometry-optimized AlOsAu structure. Source: Alexandria, functional PBE-GGA.

abc: 5.880 5.880 5.880
angles: 90.00 90.00 90.00
Space group F-43m (No. 216)
One atom of each set of equivalent atoms:
Al: 0.000 0.000 0.000
Os: 0.250 0.250 0.250
Au: 0.250 0.250 0.750

distance to the lowest polymorph of the same formula: 513 meV/atom
DOS at the Fermi energy: 1.5 states/eV/f.u.
DFT formation energy: 0.25 eV per atom

No. 3
A geometry-optimized AlOsAu structure. Source: Alexandria, functional PBE-GGA.

abc: 3.095 4.681 13.019
angles: 90.00 90.00 90.00
Space group Fmm2 (No. 42)
One atom of each set of equivalent atoms:
Al: 0.000 0.000 0.000
Os: 0.000 0.000 0.645
Au: 0.000 0.000 0.335

distance to the lowest polymorph of the same formula: 419 meV/atom
DOS at the Fermi energy: 1.9 states/eV/f.u.
DFT formation energy: 0.16 eV per atom

No. 4
A geometry-optimized Al2Os2Au structure. Source: Alexandria, functional PBE-GGA.

abc: 7.347 7.347 2.880
angles: 90.00 90.00 90.00
Space group P4/mbm (No. 127)
One atom of each set of equivalent atoms:
Al: 0.172 0.328 0.000
Os: 0.124 0.624 0.500
Au: 0.000 0.000 0.500

DOS at the Fermi energy: 2.7 states/eV/f.u.
DFT formation energy: -0.01 eV per atom

No. 5
A geometry-optimized Al2OsAu structure. Source: Alexandria, functional PBE-GGA.

abc: 4.339 4.339 3.140
angles: 90.00 90.00 90.00
Space group P4/mmm (No. 123)
One atom of each set of equivalent atoms:
Al: 0.000 0.500 0.000
Os: 0.000 0.000 0.500
Au: 0.500 0.500 0.500

DOS at the Fermi energy: 1.8 states/eV/f.u.
DFT formation energy: -0.32 eV per atom

No. 6
A geometry-optimized Al2OsAu structure. Source: Alexandria, functional PBE-GGA.

abc: 5.828 6.657 3.062
angles: 90.00 90.00 90.00
Space group Cmmm (No. 65)
One atom of each set of equivalent atoms:
Al: 0.250 0.250 0.000
Os: 0.000 0.000 0.500
Au: 0.000 0.500 0.500

DOS at the Fermi energy: 1.1 states/eV/f.u.
DFT formation energy: -0.33 eV per atom

No. 7
A geometry-optimized Al2OsAu structure. Source: Alexandria, functional PBE-GGA.

abc: 4.092 4.092 7.098
angles: 90.00 90.00 90.00
Space group I4/mmm (No. 139)
One atom of each set of equivalent atoms:
Al: 0.000 0.500 0.250
Os: 0.000 0.000 0.000
Au: 0.000 0.000 0.500

DOS at the Fermi energy: 1.2 states/eV/f.u.
DFT formation energy: -0.27 eV per atom

No. 8
A geometry-optimized Al2OsAu structure. Source: Alexandria, functional PBE-GGA.

abc: 6.899 6.899 5.667
angles: 90.00 90.00 90.00
Space group I-42d (No. 122)
One atom of each set of equivalent atoms:
Al: 0.240 0.250 0.125
Os: 0.000 0.000 0.000
Au: 0.000 0.000 0.500

DOS at the Fermi energy: 2.7 states/eV/f.u.
DFT formation energy: 0.21 eV per atom

No. 9
A geometry-optimized AlOsAu4 structure. Source: Alexandria, functional PBE-GGA.

abc: 7.602 7.602 7.602
angles: 90.00 90.00 90.00
Space group F-43m (No. 216)
One atom of each set of equivalent atoms:
Al: 0.000 0.000 0.000
Os: 0.250 0.250 0.250
Au: 0.125 0.125 0.625

DOS at the Fermi energy: 4.0 states/eV/f.u.
DFT formation energy: 0.71 eV per atom

No. 10
A geometry-optimized Al2OsAu structure. Source: Alexandria, functional PBE-GGA.

abc: 2.9515 2.9515 24.7914
angles: 90.00 90.00 120.00
Space group R3m (No. 160, hexagonal axes)
One atom of each set of equivalent atoms:
Al: 0.0000 0.0000 0.0000
Al: 0.0000 0.0000 0.1784
Os: 0.0000 0.0000 0.5888
Au: 0.0000 0.0000 0.4239

DOS at the Fermi energy: 1.9 states/eV/f.u.
DFT formation energy: -0.24 eV per atom

No. 11
A geometry-optimized Al2OsAu structure. Source: Alexandria, functional PBE-GGA.

abc: 9.317 3.141 4.314
angles: 90.00 106.32 90.00
Space group Cm (No. 8)
One atom of each set of equivalent atoms:
Al: 0.000 0.000 0.000
Al: 0.239 0.000 0.633
Os: 0.231 0.500 0.113
Au: 0.493 0.000 0.493

DOS at the Fermi energy: 1.5 states/eV/f.u.
DFT formation energy: -0.32 eV per atom

No. 12
A geometry-optimized Al2OsAu structure. Source: Alexandria, functional PBE-GGA.

abc: 3.051 4.891 8.428
angles: 90.00 90.00 90.00
Space group Cmmm (No. 65)
One atom of each set of equivalent atoms:
Al: 0.000 0.000 0.233
Os: 0.000 0.500 0.000
Au: 0.000 0.500 0.500

DOS at the Fermi energy: 2.4 states/eV/f.u.
DFT formation energy: -0.10 eV per atom

No. 13
A geometry-optimized AlOsAu structure. Source: Alexandria, functional PBE-GGA.

abc: 3.011 3.011 10.195
angles: 90.00 90.00 90.00
Space group I4mm (No. 107)
One atom of each set of equivalent atoms:
Al: 0.000 0.000 0.000
Os: 0.000 0.000 0.362
Au: 0.000 0.000 0.669

distance to the lowest polymorph of the same formula: 329 meV/atom
DOS at the Fermi energy: 3.0 states/eV/f.u.
DFT formation energy: 0.07 eV per atom

No. 14
A geometry-optimized Al2OsAu structure. Source: Alexandria, functional PBE-GGA.

abc: 3.332 3.332 5.567
angles: 90.00 90.00 90.00
Space group P4mm (No. 99)
One atom of each set of equivalent atoms:
Al: 0.000 0.000 0.000
Al: 0.500 0.500 0.285
Os: 0.500 0.500 0.828
Au: 0.000 0.000 0.491

DOS at the Fermi energy: 1.8 states/eV/f.u.
DFT formation energy: -0.21 eV per atom

No. 15
A geometry-optimized Al2OsAu structure. Source: Alexandria, functional PBE-GGA.

abc: 8.503 3.019 4.924
angles: 90.00 101.94 90.00
Space group C2/m (No. 12)
One atom of each set of equivalent atoms:
Al: 0.241 0.000 0.224
Os: 0.000 0.500 0.000
Au: 0.000 0.000 0.500

DOS at the Fermi energy: 2.6 states/eV/f.u.
DFT formation energy: -0.14 eV per atom

No. 16
A geometry-optimized Al2OsAu structure. Source: Alexandria, functional PBE-GGA.

abc: 2.925 4.834 9.040
angles: 90.00 90.00 90.00
Space group Cmm2 (No. 35)
One atom of each set of equivalent atoms:
Al: 0.000 0.000 0.000
Al: 0.000 0.500 0.253
Os: 0.000 0.000 0.475
Au: 0.000 0.500 0.753

DOS at the Fermi energy: 4.2 states/eV/f.u.
DFT formation energy: 0.19 eV per atom

No. 17
A geometry-optimized Al2OsAu structure. Source: Alexandria, functional PBE-GGA.

abc: 2.9061 2.9061 25.9033
angles: 90.00 90.00 120.00
Space group R3m (No. 160, hexagonal axes)
One atom of each set of equivalent atoms:
Al: 0.0000 0.0000 0.0000
Al: 0.0000 0.0000 0.2466
Os: 0.0000 0.0000 0.5059
Au: 0.0000 0.0000 0.7469

DOS at the Fermi energy: 2.8 states/eV/f.u.
DFT formation energy: 0.02 eV per atom

No. 18
A geometry-optimized AlOsAu structure. Source: Alexandria, functional PBE-GGA.

abc: 2.819 2.819 11.756
angles: 90.00 90.00 90.00
Space group P4/nmm (No. 129, origin choice 2)
One atom of each set of equivalent atoms:
Al: 0.250 0.250 0.228
Os: 0.250 0.250 0.926
Au: 0.250 0.250 0.607

distance to the lowest polymorph of the same formula: 0 meV/atom
DOS at the Fermi energy: 0.7 states/eV/f.u.
DFT formation energy: -0.26 eV per atom

No. 19
A geometry-optimized Al2OsRhAu structure. Source: Alexandria, functional PBE-GGA.

abc: 4.421 4.421 4.996
angles: 90.00 90.00 90.00
Space group P4/mmm (No. 123)
One atom of each set of equivalent atoms:
Al: 0.000 0.500 0.000
Os: 0.000 0.000 0.500
Rh: 0.500 0.500 0.000
Au: 0.500 0.500 0.500

DOS at the Fermi energy: 3.4 states/eV/f.u.
DFT formation energy: 0.97 eV per atom

No. 20
A geometry-optimized AlSbOs2Au structure. Source: Alexandria, functional PBE-GGA.

abc: 4.609 4.609 4.634
angles: 90.00 90.00 90.00
Space group P4/mmm (No. 123)
One atom of each set of equivalent atoms:
Al: 0.000 0.000 0.000
Sb: 0.500 0.500 0.500
Os: 0.000 0.500 0.000
Au: 0.000 0.000 0.500

DOS at the Fermi energy: 6.9 states/eV/f.u.
formation energy (no corrections): 6.4 eV/f.u.